1.
# Ho2LuTh

A geometry-optimized Ho2LuTh structure (PBE, Alexandria).

a b c (Å): 5.014 4.963 4.963
angles (deg): 90.00 90.00 90.00
Positions (direct):
Th 0.500 0.500 0.500
Ho 0.000 0.000 0.500
Ho 0.000 0.500 0.000
Lu 0.500 0.000 0.000

Values from the calculation:
DFT formation energy	0.036	eV per atom
energy above the lowest structure with this stoichiometry	6	meV per atom
theoretical density	9.91	g/cm3
crystal system	tetragonal

***

2.
# TcMoW3

A geometry-optimized TcMoW3 structure (PBE, Alexandria).

a b c (Å): 5.248 5.486 7.073
angles (deg): 105.04 113.91 58.41
Positions (direct):
Mo 0.398 0.650 0.299
Mo 0.602 0.350 0.701
W 0.797 0.553 0.099
W 0.006 0.746 0.500
W 0.803 0.049 0.102
W 0.994 0.254 0.500
W 0.203 0.447 0.901
W 0.197 0.951 0.898
Tc 0.598 0.856 0.699
Tc 0.402 0.144 0.301

Values from the calculation:
DFT formation energy	0.045	eV per atom
energy above the lowest structure with this stoichiometry	0	meV per atom
theoretical density	15.64	g/cm3
crystal system	triclinic

***

3.
# SrMn3Ga9

A geometry-optimized SrMn3Ga9 structure (PBE, Alexandria).

a b c (Å): 5.226 6.755 7.130
angles (deg): 82.61 68.50 69.45
Positions (direct):
Mn 0.500 0.500 0.000
Mn 0.500 0.000 0.500
Mn 0.000 0.000 0.500
Ga 0.519 0.227 0.761
Ga 0.658 0.334 0.355
Ga 0.000 0.500 0.000
Ga 0.342 0.666 0.645
Ga 0.481 0.773 0.239
Ga 0.720 0.773 0.761
Ga 0.280 0.227 0.239
Ga 0.013 0.334 0.645
Ga 0.987 0.666 0.355
Sr 0.000 0.000 0.000

Values from the calculation:
DFT formation energy	-0.157	eV per atom
theoretical density	6.66	g/cm3
crystal system	monoclinic

***

4.
# KNpPb2Cl8

A geometry-optimized KNpPb2Cl8 structure (PBE, Alexandria).

a b c (Å): 6.827 6.710 8.934
angles (deg): 90.00 90.00 89.32
Positions (direct):
Pb 0.500 0.500 0.746
Pb 0.500 0.500 0.254
Cl 0.841 0.234 0.779
Cl 0.159 0.766 0.779
Cl 0.841 0.234 0.221
Cl 0.640 0.722 0.500
Cl 0.159 0.766 0.221
Cl 0.681 0.749 0.000
Cl 0.360 0.278 0.500
Cl 0.319 0.251 0.000
K 0.000 0.000 0.500
Np 0.000 0.000 0.000

Values from the calculation:
uncorrected formation energy	-1477	meV per atom
theoretical density	3.95	g/cm3
crystal system	monoclinic

***

5.
# FeAsP

A geometry-optimized FeAsP structure (PBE, Alexandria).

a b c (Å): 2.866 2.866 7.466
angles (deg): 90.00 90.00 120.00
Positions (direct):
As 0.000 0.000 0.093
Fe 0.667 0.333 0.346
P 0.333 0.667 0.561

Values from the calculation:
DFT formation energy	0.023	eV per atom
theoretical density	5.06	g/cm3
crystal system	trigonal

***

6.
# NpCd2TeO8

A geometry-optimized NpCd2TeO8 structure (PBE, Alexandria).

a b c (Å): 5.021 5.018 6.719
angles (deg): 90.00 90.00 93.04
Positions (direct):
O 0.725 0.726 0.500
O 0.824 0.177 0.731
O 0.176 0.823 0.269
O 0.720 0.722 0.000
O 0.176 0.823 0.731
O 0.824 0.177 0.269
O 0.280 0.278 0.000
O 0.275 0.274 0.500
Np 0.000 0.000 0.000
Cd 0.500 0.500 0.739
Cd 0.500 0.500 0.261
Te 0.000 0.000 0.500

Values from the calculation:
uncorrected formation energy	-1564	meV per atom
theoretical density	7.05	g/cm3
crystal system	monoclinic

***

7.
# Y2H2SeS

A geometry-optimized Y2H2SeS structure (PBE, Alexandria).

a b c (Å): 3.811 3.811 7.642
angles (deg): 90.00 90.00 120.00
Positions (direct):
Y 0.333 0.667 0.741
Y 0.667 0.333 0.259
H 0.333 0.667 0.255
H 0.667 0.333 0.745
S 0.000 0.000 0.500
Se 0.000 0.000 0.000

Values from the calculation:
DFT total energy	-6.0182	eV per atom
theoretical density	5.02	g/cm3
crystal system	trigonal

***

8.
# LaEr6Tl3

A geometry-optimized LaEr6Tl3 structure (PBE, Alexandria).

a b c (Å): 8.520 8.556 8.556
angles (deg): 96.74 90.00 90.00
Positions (direct):
Er 0.698 0.972 0.028
Er 0.074 0.768 0.232
Er 0.306 0.062 0.425
Er 0.806 0.425 0.062
Er 0.661 0.606 0.735
Er 0.661 0.265 0.394
Er 0.306 0.575 0.938
Er 0.161 0.394 0.265
Er 0.161 0.735 0.606
Er 0.198 0.028 0.972
Er 0.574 0.232 0.768
Er 0.806 0.938 0.575
Tl 0.959 0.105 0.277
Tl 0.959 0.723 0.895
Tl 0.459 0.895 0.723
Tl 0.859 0.575 0.425
Tl 0.459 0.277 0.105
Tl 0.359 0.425 0.575
La 0.501 0.687 0.313
La 0.001 0.313 0.687

Values from the calculation:
DFT formation energy	-0.130	eV per atom
theoretical density	9.41	g/cm3
crystal system	orthorhombic

***

9.
# GdHf2Cu

A geometry-optimized GdHf2Cu structure (PBE, Alexandria).

a b c (Å): 3.259 3.259 8.030
angles (deg): 90.00 90.00 90.00
Positions (direct):
Cu 0.500 0.500 0.000
Hf 0.000 0.000 0.795
Hf 0.000 0.000 0.205
Gd 0.500 0.500 0.500

Values from the calculation:
DFT formation energy	0.067	eV per atom
theoretical density	11.25	g/cm3
crystal system	tetragonal

***

10.
# TaTlIO2

A geometry-optimized TaTlIO2 structure (PBE, Alexandria).

a b c (Å): 4.189 4.189 5.896
angles (deg): 90.00 90.00 90.00
Positions (direct):
Tl 0.500 0.500 0.500
O 0.500 0.000 0.000
O 0.000 0.500 0.000
Ta 0.000 0.000 0.000
I 0.000 0.000 0.500

Values from the calculation:
uncorrected formation energy	-1082	meV per atom
energy above the lowest structure with this stoichiometry	0	meV per atom
theoretical density	8.73	g/cm3
crystal system	tetragonal

***

11.
# Ca3MgAl

A geometry-optimized Ca3MgAl structure (PBE, Alexandria).

a b c (Å): 7.755 7.755 7.755
angles (deg): 90.00 90.00 90.00
Positions (direct):
Mg 0.500 0.000 0.500
Mg 0.000 0.500 0.500
Mg 0.500 0.500 0.000
Ca 0.769 0.769 0.769
Ca 0.769 0.231 0.231
Ca 0.231 0.231 0.769
Ca 0.769 0.231 0.769
Ca 0.231 0.769 0.769
Ca 0.500 0.500 0.500
Ca 0.231 0.769 0.231
Ca 0.231 0.231 0.231
Ca 0.769 0.769 0.231
Al 0.000 0.000 0.500
Al 0.500 0.000 0.000
Al 0.000 0.500 0.000

Values from the calculation:
DFT formation energy	-0.093	eV per atom
energy above the lowest structure with this stoichiometry	31	meV per atom
theoretical density	1.83	g/cm3
crystal system	cubic

***

12.
# Pd8PtAu2

A geometry-optimized Pd8PtAu2 structure (PBE, Alexandria).

a b c (Å): 4.203 6.816 6.816
angles (deg): 106.53 89.98 89.98
Positions (direct):
Pd 0.000 0.701 0.963
Pd 0.500 0.764 0.236
Pd 0.500 0.236 0.764
Pd 0.000 0.037 0.299
Pd 0.500 0.671 0.671
Pd 0.000 0.299 0.037
Pd 0.500 0.329 0.329
Pd 0.000 0.963 0.701
Pt 0.500 0.000 0.000
Au 0.000 0.376 0.624
Au 0.000 0.624 0.376

Values from the calculation:
DFT formation energy	0.165	eV per atom
energy above the lowest structure with this stoichiometry	0	meV per atom
theoretical density	12.78	g/cm3
crystal system	orthorhombic

***

13.
# DyHf2Pt9

A geometry-optimized DyHf2Pt9 structure (PBE, Alexandria).

a b c (Å): 4.061 4.061 12.184
angles (deg): 90.00 90.00 90.00
Positions (direct):
Pt 0.000 0.500 0.500
Pt 0.500 0.000 0.175
Pt 0.500 0.000 0.825
Pt 0.000 0.500 0.825
Pt 0.500 0.500 0.662
Pt 0.500 0.500 0.000
Pt 0.500 0.000 0.500
Pt 0.000 0.500 0.175
Pt 0.500 0.500 0.338
Dy 0.000 0.000 0.000
Hf 0.000 0.000 0.666
Hf 0.000 0.000 0.334

Values from the calculation:
DFT formation energy	-1.105	eV per atom
theoretical density	18.80	g/cm3
crystal system	tetragonal

***

14.
# CaCeSbO2

A geometry-optimized CaCeSbO2 structure (PBE, Alexandria).

a b c (Å): 3.930 3.930 7.307
angles (deg): 105.60 105.60 90.00
Positions (direct):
O 0.245 0.745 0.490
O 0.745 0.245 0.490
Ce 0.170 0.170 0.340
Sb 0.504 0.504 0.008
Ca 0.836 0.836 0.673

Values from the calculation:
uncorrected formation energy	-2464	meV per atom
theoretical density	5.31	g/cm3
crystal system	tetragonal

***

15.
# USeS

A geometry-optimized USeS structure (PBE, Alexandria).

a b c (Å): 3.749 7.066 10.378
angles (deg): 90.00 90.00 90.00
Positions (direct):
Se 0.750 0.292 0.043
Se 0.250 0.208 0.543
Se 0.750 0.792 0.457
Se 0.250 0.708 0.957
S 0.750 0.549 0.718
S 0.750 0.049 0.782
S 0.250 0.951 0.218
S 0.250 0.451 0.282
U 0.250 0.833 0.665
U 0.250 0.333 0.835
U 0.750 0.167 0.335
U 0.750 0.667 0.165

Values from the calculation:
uncorrected formation energy	-1266	meV per atom
energy above the lowest structure with this stoichiometry	30	meV per atom
theoretical density	8.43	g/cm3
crystal system	orthorhombic

***

16.
# LiCeAu3

A geometry-optimized LiCeAu3 structure (PBE, Alexandria).

a b c (Å): 3.275 4.772 13.430
angles (deg): 90.00 97.00 90.00
Positions (direct):
Ce 0.920 0.750 0.840
Ce 0.080 0.250 0.160
Au 0.632 0.750 0.263
Au 0.526 0.750 0.053
Au 0.474 0.250 0.947
Au 0.688 0.250 0.375
Au 0.312 0.750 0.625
Au 0.368 0.250 0.737
Li 0.788 0.250 0.575
Li 0.212 0.750 0.425

Values from the calculation:
DFT formation energy	-0.546	eV per atom
energy above the lowest structure with this stoichiometry	0	meV per atom
theoretical density	11.77	g/cm3
crystal system	orthorhombic

***

17.
# Cu3Pd5Au3

A geometry-optimized Cu3Pd5Au3 structure (PBE, Alexandria).

a b c (Å): 2.738 8.771 8.771
angles (deg): 120.00 90.00 90.00
Positions (direct):
Pd 0.500 0.333 0.667
Pd 0.500 0.331 0.000
Pd 0.500 0.667 0.333
Pd 0.500 0.669 0.669
Pd 0.500 0.000 0.331
Au 0.000 0.000 0.600
Au 0.000 0.400 0.400
Au 0.000 0.600 0.000
Cu 0.500 0.000 0.844
Cu 0.500 0.156 0.156
Cu 0.500 0.844 0.000

Values from the calculation:
DFT formation energy	0.205	eV per atom
theoretical density	11.96	g/cm3
crystal system	hexagonal

***

18.
# Ba2CaSnH

A geometry-optimized Ba2CaSnH structure (PBE, Alexandria).

a b c (Å): 5.393 5.393 5.388
angles (deg): 90.00 90.00 90.00
Positions (direct):
H 0.000 0.000 0.000
Ca 0.000 0.000 0.500
Ba 0.000 0.500 0.000
Ba 0.500 0.000 0.000
Sn 0.500 0.500 0.500

Values from the calculation:
DFT total energy	-3.0645	eV per atom
theoretical density	4.60	g/cm3
crystal system	tetragonal

***

19.
# CsNdO2

A geometry-optimized CsNdO2 structure (PBE, Alexandria).

a b c (Å): 3.695 3.695 7.342
angles (deg): 75.42 75.42 60.00
Positions (direct):
O 0.058 0.058 0.825
O 0.279 0.279 0.164
Cs 0.497 0.497 0.510
Nd 0.667 0.667 0.000

Values from the calculation:
uncorrected formation energy	-2481	meV per atom
theoretical density	6.18	g/cm3
crystal system	trigonal

***

20.
# Sr3YIr8

A geometry-optimized Sr3YIr8 structure (PBE, Alexandria).

a b c (Å): 5.458 5.458 9.424
angles (deg): 73.17 73.17 60.00
Positions (direct):
Ir 0.444 0.938 0.681
Ir 0.688 0.688 0.937
Ir 0.188 0.188 0.437
Ir 0.437 0.437 0.194
Ir 0.938 0.938 0.681
Ir 0.938 0.444 0.681
Ir 0.932 0.437 0.194
Ir 0.437 0.932 0.194
Sr 0.499 0.499 0.504
Sr 0.001 0.001 0.996
Sr 0.374 0.374 0.877
Y 0.875 0.875 0.375

Values from the calculation:
DFT formation energy	-0.391	eV per atom
theoretical density	13.69	g/cm3
crystal system	trigonal

***

21.
# Zr3Cl

A geometry-optimized Zr3Cl structure (PBE, Alexandria).

a b c (Å): 5.625 5.625 5.625
angles (deg): 146.49 118.68 71.72
Positions (direct):
Zr 0.590 0.500 0.090
Zr 0.342 0.699 0.643
Zr 0.944 0.301 0.643
Cl 0.957 0.000 0.957

Values from the calculation:
uncorrected formation energy	-189	meV per atom
energy above the lowest structure with this stoichiometry	222	meV per atom
theoretical density	6.05	g/cm3
crystal system	orthorhombic

***

22.
# BaMgHg14

A geometry-optimized BaMgHg14 structure (PBE, Alexandria).

a b c (Å): 7.670 7.670 7.438
angles (deg): 90.00 90.00 90.00
Positions (direct):
Hg 0.875 0.875 0.000
Hg 0.875 0.375 0.500
Hg 0.608 0.142 0.242
Hg 0.142 0.142 0.758
Hg 0.375 0.375 0.000
Hg 0.608 0.608 0.242
Hg 0.608 0.608 0.758
Hg 0.875 0.375 0.000
Hg 0.375 0.875 0.000
Hg 0.142 0.608 0.242
Hg 0.375 0.875 0.500
Hg 0.608 0.142 0.758
Hg 0.142 0.608 0.758
Hg 0.142 0.142 0.242
Mg 0.375 0.375 0.500
Ba 0.875 0.875 0.500

Values from the calculation:
DFT formation energy	-0.122	eV per atom
theoretical density	11.27	g/cm3
crystal system	tetragonal

***

23.
# LiTbTm2Cd4

A geometry-optimized LiTbTm2Cd4 structure (PBE, Alexandria).

a b c (Å): 5.155 5.155 8.996
angles (deg): 73.35 73.35 60.00
Positions (direct):
Cd 0.873 0.873 0.381
Cd 0.127 0.127 0.619
Cd 0.381 0.381 0.857
Cd 0.619 0.619 0.143
Li 0.500 0.500 0.500
Tm 0.249 0.249 0.254
Tm 0.751 0.751 0.746
Tb 0.000 0.000 0.000

Values from the calculation:
DFT formation energy	-0.268	eV per atom
theoretical density	8.10	g/cm3
crystal system	trigonal